(1)
Material: BaNiSe
Method: DFT, PBE-GGA
State: relaxed

Calculated values
volume = 179 Å³/cell
theoretical density = 5.10 g/cm3
uncorrected formation energy = -511 meV per atom
total magnetic moment = 0.00 μB/f.u.
E = -0.3117 Ry per atom
Fermi-level density of states = 6.1 states/eV per cell

abc: 4.6797 4.6797 8.1782
angles: 90.00 90.00 90.00
Closest atoms and distances in Å follow each position.
Space group P4/nmm (No. 129, origin choice 2)
Asymmetric unit:
Ba1 0.2500 0.2500 0.2103 x2  1 Ni 3.15, 4 Se 3.33
Ni1 0.2500 0.2500 0.5954 x2  4 Se 2.47
Se1 0.2500 0.7500 0.5000 x2  4 Ni 2.47

(2)
Material: Na6AlF8
Method: DFT, PBE-GGA
State: relaxed

Calculated values
volume = 876 Å³/cell
theoretical density = 2.40 g/cm3
uncorrected formation energy = -2756 meV per atom
total magnetic moment = 0.23 μB/f.u.
E = -0.3330 Ry per atom
Fermi-level density of states = 8.4 states/eV per cell

abc: 9.5689 9.5689 9.5689
angles: 90.00 90.00 90.00
Closest atoms and distances in Å follow each position.
Space group Fm-3m (No. 225)
Asymmetric unit:
Na1 0.0000 0.2500 0.2500 x24  6 F 2.39-2.45
Al1 0.0000 0.0000 0.0000 x4  6 F 1.85
F1 0.0000 0.0000 0.1932 x24  1 Al 1.85
F2 0.2500 0.2500 0.2500 x8  6 Na 2.39

(3)
Material: NdEuPdPt
Method: DFT, PBE-GGA
State: relaxed

Calculated values
ΔH_f (0 K) = -0.8629 eV/atom
volume = 375 Å³/cell
theoretical density = 10.60 g/cm3
total magnetic moment = 7.07 μB/f.u.
E = -0.5462 Ry per atom
Fermi-level density of states = 37.5 states/eV per cell

abc: 7.2093 7.2093 7.2093
angles: 90.00 90.00 90.00
Closest atoms and distances in Å follow each position.
Space group F-43m (No. 216)
Asymmetric unit:
Nd1 0.0000 0.0000 0.0000 x4  4 Pd 3.12, 4 Pt 3.12
Eu1 0.0000 0.0000 0.5000 x4  4 Pt 3.12, 4 Pd 3.12
Pd1 0.2500 0.2500 0.7500 x4  4 Eu 3.12, 4 Nd 3.12
Pt1 0.2500 0.2500 0.2500 x4  4 Nd 3.12, 4 Eu 3.12

(4)
Material: LiTcH2
Method: DFT, PBE-GGA
State: relaxed

Calculated values
volume = 31 Å³/cell
theoretical density = 5.69 g/cm3
total magnetic moment = 0.00 μB/f.u.
E = -0.3245 Ry per atom
Fermi-level density of states = 1.6 states/eV per cell

abc: 3.4834 3.4834 2.5706
angles: 90.00 90.00 90.00
Closest atoms and distances in Å follow each position.
Space group P4/mmm (No. 123)
Asymmetric unit:
Li1 0.0000 0.0000 0.0000 x1  8 H 2.16
Tc1 0.5000 0.5000 0.0000 x1  8 H 2.16
H1 0.0000 0.5000 0.5000 x2  4 Li 2.16, 4 Tc 2.16

Q: What is the Fermi-level density of states in the first record?
A: 6.1 states/eV per cell

What did the first record say?
Material: BaNiSe
Method: DFT, PBE-GGA
State: relaxed

Calculated values
volume = 179 Å³/cell
theoretical density = 5.10 g/cm3
uncorrected formation energy = -511 meV per atom
total magnetic moment = 0.00 μB/f.u.
E = -0.3117 Ry per atom
Fermi-level density of states = 6.1 states/eV per cell

abc: 4.6797 4.6797 8.1782
angles: 90.00 90.00 90.00
Closest atoms and distances in Å follow each position.
Space group P4/nmm (No. 129, origin choice 2)
Asymmetric unit:
Ba1 0.2500 0.2500 0.2103 x2  1 Ni 3.15, 4 Se 3.33
Ni1 0.2500 0.2500 0.5954 x2  4 Se 2.47
Se1 0.2500 0.7500 0.5000 x2  4 Ni 2.47

Q: Among the records above, which one has the highest theoretical density?
A: NdEuPdPt

Q: Which value of theoretical density does entry 2 give?
A: 2.40 g/cm3